The following is a DFT calculation (PBE+U) of crystalline CsMn2CdF8 at its relaxed geometry.

As for the raw total energy: -5.084 eV/atom. The density of states at the Fermi level is 0.40 states/eV per atom.

The space group is P-1 (No. 2) and the conventional cell measures 5.088, 5.128 and 8.330 Å, with angles of 91.51, 90.77 and 93.89 degrees. The inequivalent atoms are Cs at (0.000, 0.000, 0.000), Mn at (0.483, 0.502, 0.308), Cd at (0.000, 0.000, 0.500), F at (0.236, 0.217, 0.697), F at (0.251, 0.179, 0.312), F at (0.297, 0.663, 0.516) and F at (0.317, 0.599, 0.117).